Sr2Co2O (GGA+U, relaxed); symmetry = P4/mbm (127); magnetization = 4.54 μB/f.u.; D(E_F) = 5.6 states/eV per cell; relative energy among the computed polymorphs = 461 meV/atom
1.0
6.922 0.000 0.000
0.000 6.922 0.000
0.000 0.000 5.345
Sr Co O
4 4 2
Direct
0.198 0.302 0.000
0.302 0.802 0.000
0.698 0.198 0.000
0.802 0.698 0.000
0.114 0.614 0.500
0.386 0.114 0.500
0.614 0.886 0.500
0.886 0.386 0.500
0.000 0.000 0.000
0.500 0.500 0.000